(1)
Material: Be2ZnSe
Method: DFT, PBE
State: optimized geometry

Geometry as POSCAR:
```
Be2ZnSe
1.0
0.000 3.079 3.079
3.079 0.000 3.079
3.079 3.079 0.000
Be Zn Se
2 1 1
direct
0.000 0.000 0.000
0.250 0.250 0.250
0.750 0.750 0.750
0.500 0.500 0.500
```

## Properties
uncorrected formation energy	0.760	eV/atom
density of states at the Fermi level	2.2	states/eV per cell

(2)
Material: BeNbAl
Method: DFT, PBE
State: optimized geometry

Geometry as POSCAR:
```
BeNbAl
1.0
2.793 0.000 0.000
-0.066 4.628 0.000
-0.998 -0.164 6.644
Be Nb Al
2 2 2
direct
0.000 0.000 0.000
0.132 0.332 0.256
0.266 0.985 0.658
0.524 0.491 0.937
0.613 0.866 0.284
0.763 0.471 0.557
```

## Properties
formation enthalpy at 0 K	-92	meV/atom
density of states at the Fermi level	2.1	states/eV per cell

(3)
Material: PmTl3B4O12
Method: DFT, PBE
State: optimized geometry

Geometry as POSCAR:
```
PmTl3B4O12
1.0
5.091 2.939 2.813
-5.091 2.939 2.813
0.000 -5.878 2.813
Pm Tl B O
1 3 4 12
direct
0.000 0.000 0.000
0.000 0.532 0.468
0.468 0.000 0.532
0.532 0.468 0.000
0.037 0.500 0.963
0.500 0.500 0.500
0.500 0.963 0.037
0.963 0.037 0.500
0.026 0.638 0.828
0.098 0.902 0.500
0.172 0.362 0.974
0.362 0.974 0.172
0.365 0.635 0.500
0.500 0.098 0.902
0.500 0.365 0.635
0.635 0.500 0.365
0.638 0.828 0.026
0.828 0.026 0.638
0.902 0.500 0.098
0.974 0.172 0.362
```

## Properties
uncorrected formation energy	-1.898	eV/atom

(4)
Material: HgPdBr
Method: DFT, PBE
State: optimized geometry

Geometry as POSCAR:
```
HgPdBr
1.0
4.022 0.000 0.000
0.000 4.983 0.000
0.000 0.000 3.850
Hg Pd Br
1 1 1
direct
0.000 0.000 0.000
0.500 0.000 0.496
0.500 0.500 0.603
```

## Properties
uncorrected formation energy	-0.161	eV/atom
density of states at the Fermi level	1.4	states/eV per cell

(5)
Material: Pm2Rh2O7
Method: DFT, PBE
State: optimized geometry

Geometry as POSCAR:
```
Pm2Rh2O7
1.0
0.000 5.198 5.198
5.198 0.000 5.198
5.198 5.198 0.000
Pm Rh O
4 4 14
direct
0.000 0.000 0.000
0.000 0.000 0.500
0.000 0.500 0.000
0.500 0.000 0.000
0.000 0.500 0.500
0.500 0.000 0.500
0.500 0.500 0.000
0.500 0.500 0.500
0.125 0.125 0.125
0.167 0.167 0.583
0.167 0.583 0.167
0.167 0.583 0.583
0.417 0.417 0.833
0.417 0.833 0.417
0.417 0.833 0.833
0.583 0.167 0.167
0.583 0.167 0.583
0.583 0.583 0.167
0.833 0.417 0.417
0.833 0.417 0.833
0.833 0.833 0.417
0.875 0.875 0.875
```

## Properties
uncorrected formation energy	-2.002	eV/atom
density of states at the Fermi level	11.7	states/eV per cell

(6)
Material: Tm2CuP
Method: DFT, PBE
State: optimized geometry

Geometry as POSCAR:
```
Tm2CuP
1.0
1.855 1.071 8.781
-1.855 1.071 8.781
0.000 -2.142 8.781
Tm Cu P
2 1 1
direct
0.105 0.105 0.105
0.895 0.895 0.895
0.000 0.000 0.000
0.500 0.500 0.500
```

## Properties
formation enthalpy at 0 K	-246	meV/atom
density of states at the Fermi level	2.6	states/eV per cell

(7)
Material: LaSiAu
Method: DFT, PBE
State: optimized geometry

Geometry as POSCAR:
```
LaSiAu
1.0
4.912 0.000 0.000
0.000 4.319 0.000
-0.321 0.000 6.839
La Si Au
2 2 2
direct
0.000 0.000 0.000
0.451 0.500 0.617
0.505 0.500 0.073
0.898 0.500 0.318
0.002 0.000 0.529
0.502 0.000 0.279
```

## Properties
uncorrected formation energy	-0.571	eV/atom
density of states at the Fermi level	4.2	states/eV per cell

(8)
Material: Zn2GaRh
Method: DFT, PBE
State: optimized geometry

Geometry as POSCAR:
```
Zn2GaRh
1.0
1.348 0.778 10.382
-1.348 0.778 10.382
0.000 -1.556 10.382
Zn Ga Rh
2 1 1
direct
0.082 0.082 0.082
0.918 0.918 0.918
0.500 0.500 0.500
0.000 0.000 0.000
```

## Properties
formation enthalpy at 0 K	168	meV/atom
density of states at the Fermi level	3.0	states/eV per cell

(9)
Material: UGeAs
Method: DFT, PBE
State: optimized geometry

Geometry as POSCAR:
```
UGeAs
1.0
-1.997 1.997 7.793
1.997 -1.997 7.793
1.997 1.997 -7.793
U Ge As
2 2 2
direct
0.141 0.141 0.000
0.859 0.859 0.000
0.000 0.500 0.500
0.500 0.000 0.500
0.325 0.325 0.000
0.675 0.675 0.000
```

## Properties
formation enthalpy at 0 K	-512	meV/atom
density of states at the Fermi level	10.0	states/eV per cell

(10)
Material: Sr4CaYGa2Cu4O14
Method: DFT, PBE
State: optimized geometry

Geometry as POSCAR:
```
Sr4CaYGa2Cu4O14
1.0
11.974 -2.692 0.000
11.974 2.692 0.000
-1.261 0.000 5.349
Sr Ca Y Ga Cu O
4 1 1 2 4 14
direct
0.150 0.150 0.136
0.348 0.348 0.332
0.652 0.652 0.668
0.850 0.850 0.864
0.998 0.002 0.000
0.498 0.502 0.500
0.290 0.210 0.680
0.790 0.710 0.320
0.072 0.077 0.575
0.423 0.428 0.924
0.572 0.577 0.076
0.923 0.928 0.425
0.143 0.355 0.362
0.153 0.201 0.721
0.186 0.683 0.679
0.190 0.683 0.192
0.297 0.351 0.864
0.317 0.810 0.808
0.317 0.814 0.321
0.645 0.857 0.638
0.649 0.703 0.136
0.676 0.192 0.677
0.682 0.192 0.189
0.799 0.847 0.279
0.808 0.318 0.811
0.808 0.324 0.323
```

## Properties
uncorrected formation energy	-2.015	eV/atom
density of states at the Fermi level	7.9	states/eV per cell

(11)
Material: NaSr2CeO4
Method: DFT, PBE
State: optimized geometry

Geometry as POSCAR:
```
NaSr2CeO4
1.0
6.130 0.000 0.000
0.000 3.646 0.000
-1.925 0.000 5.881
Na Sr Ce O
1 2 1 4
direct
0.000 0.000 0.000
0.000 0.500 0.500
0.500 0.000 0.500
0.500 0.500 0.000
0.263 0.000 0.764
0.275 0.500 0.245
0.725 0.500 0.755
0.737 0.000 0.236
```

## Properties
uncorrected formation energy	-2.621	eV/atom
density of states at the Fermi level	4.5	states/eV per cell

(12)
Material: Pr4Nd2Er3
Method: DFT, PBE
State: optimized geometry

Geometry as POSCAR:
```
Pr4Nd2Er3
1.0
3.641 0.000 0.000
-1.821 3.153 0.000
0.000 0.000 27.167
Pr Nd Er
4 2 3
direct
0.000 0.000 0.000
0.000 0.000 0.212
0.333 0.667 0.328
0.333 0.667 0.542
0.000 0.000 0.657
0.000 0.000 0.866
0.000 0.000 0.435
0.333 0.667 0.104
0.333 0.667 0.763
```

## Properties
formation enthalpy at 0 K	54	meV/atom
density of states at the Fermi level	16.1	states/eV per cell

(13)
Material: YCoTeN2
Method: DFT, PBE
State: optimized geometry

Geometry as POSCAR:
```
YCoTeN2
1.0
4.373 0.000 0.000
0.000 4.373 0.000
0.000 0.000 6.265
Y Co Te N
1 1 1 2
direct
0.000 0.000 0.000
0.500 0.500 0.500
0.000 0.000 0.500
0.000 0.500 0.000
0.500 0.000 0.000
```

## Properties
uncorrected formation energy	1.155	eV/atom
density of states at the Fermi level	5.0	states/eV per cell

(14)
Material: YWN3
Method: DFT, PBE
State: optimized geometry

Geometry as POSCAR:
```
YWN3
1.0
5.406 -2.087 0.000
5.406 2.087 0.000
-1.676 0.000 6.450
Y W N
2 2 6
direct
0.154 0.154 0.106
0.846 0.846 0.894
0.105 0.194 0.606
0.806 0.895 0.394
0.273 0.273 0.859
0.323 0.300 0.423
0.700 0.677 0.577
0.727 0.727 0.141
0.977 0.014 0.287
0.986 0.023 0.713
```

## Properties
uncorrected formation energy	-0.789	eV/atom
density of states at the Fermi level	0.0	states/eV per cell

(15)
Material: Ba2LiF4
Method: DFT, PBE
State: optimized geometry

Geometry as POSCAR:
```
Ba2LiF4
1.0
6.536 0.000 0.000
0.000 5.714 0.000
-0.500 0.000 7.915
Ba Li F
4 2 8
direct
0.179 0.250 0.365
0.303 0.250 0.875
0.697 0.750 0.125
0.821 0.750 0.635
0.186 0.750 0.135
0.814 0.250 0.865
0.023 0.750 0.333
0.040 0.750 0.926
0.364 0.502 0.146
0.364 0.998 0.146
0.636 0.002 0.854
0.636 0.498 0.854
0.960 0.250 0.074
0.977 0.250 0.667
```

## Properties
uncorrected formation energy	-3.187	eV/atom
density of states at the Fermi level	2.6	states/eV per cell

(16)
Material: Ac4UN5
Method: DFT, PBE
State: optimized geometry

Geometry as POSCAR:
```
Ac4UN5
1.0
-4.221 4.221 2.725
4.221 -4.221 2.725
4.221 4.221 -2.725
Ac U N
4 1 5
direct
0.103 0.299 0.402
0.299 0.897 0.196
0.701 0.103 0.804
0.897 0.701 0.598
0.517 0.517 0.000
0.254 0.592 0.836
0.418 0.254 0.662
0.592 0.756 0.338
0.756 0.418 0.164
0.935 0.935 0.000
```

## Properties
uncorrected formation energy	-1.154	eV/atom
density of states at the Fermi level	5.9	states/eV per cell

(17)
Material: CeNd2Th
Method: DFT, PBE
State: optimized geometry

Geometry as POSCAR:
```
CeNd2Th
1.0
3.554 0.000 0.000
0.000 3.554 0.000
0.000 0.000 10.490
Ce Nd Th
1 2 1
direct
0.000 0.000 0.000
0.500 0.500 0.253
0.500 0.500 0.747
0.000 0.000 0.500
```

## Properties
formation enthalpy at 0 K	103	meV/atom
density of states at the Fermi level	8.2	states/eV per cell

(18)
Material: Dy3GaP2Rh9
Method: DFT, PBE
State: optimized geometry

Geometry as POSCAR:
```
Dy3GaP2Rh9
1.0
6.042 0.000 0.000
-3.021 5.233 0.000
0.000 0.000 8.856
Dy Ga P Rh
3 1 2 9
direct
0.000 0.000 0.000
0.333 0.667 0.696
0.667 0.333 0.304
0.000 0.000 0.500
0.333 0.667 0.165
0.667 0.333 0.835
0.000 0.500 0.000
0.150 0.300 0.280
0.150 0.850 0.280
0.300 0.150 0.720
0.500 0.000 0.000
0.500 0.500 0.000
0.700 0.850 0.280
0.850 0.150 0.720
0.850 0.700 0.720
```

## Properties
formation enthalpy at 0 K	-654	meV/atom
density of states at the Fermi level	9.0	states/eV per cell

(19)
Material: ScH
Method: DFT, PBE
State: optimized geometry

Geometry as POSCAR:
```
ScH
1.0
0.000 2.261 2.261
2.261 0.000 2.261
2.261 2.261 0.000
Sc H
1 1
direct
0.000 0.000 0.000
0.500 0.500 0.500
```

## Properties
density of states at the Fermi level	1.6	states/eV per cell

(20)
Material: TmMg2Tl2
Method: DFT, PBE
State: optimized geometry

Geometry as POSCAR:
```
TmMg2Tl2
1.0
5.016 0.000 0.000
-2.508 4.344 0.000
0.000 0.000 12.988
Tm Mg Tl
2 4 4
direct
0.000 0.000 0.250
0.000 0.000 0.750
0.000 0.000 0.000
0.000 0.000 0.500
0.333 0.667 0.250
0.667 0.333 0.750
0.333 0.667 0.618
0.333 0.667 0.882
0.667 0.333 0.118
0.667 0.333 0.382
```

## Properties
formation enthalpy at 0 K	171	meV/atom
density of states at the Fermi level	6.0	states/eV per cell

| no. | total moment (μB/atom) | raw total energy (eV/atom) |
| --- | --- | --- |
| 1 | 0.00 | -2.293 |
| 2 | 0.00 | -5.938 |
| 3 | 0.00 | -6.801 |
| 4 | 0.00 | -2.550 |
| 5 | 0.11 | -7.357 |
| 6 | 0.00 | -4.858 |
| 7 | 0.00 | -5.114 |
| 8 | 0.13 | -3.064 |
| 9 | 0.34 | -7.363 |
| 10 | 0.00 | -6.132 |
| 11 | 0.12 | -6.427 |
| 12 | 0.00 | -4.651 |
| 13 | 1.17 | -5.517 |
| 14 | 0.00 | -9.667 |
| 15 | 0.00 | -5.079 |
| 16 | 0.04 | -8.089 |
| 17 | 0.26 | -5.619 |
| 18 | 0.00 | -6.908 |
| 19 | 0.00 | -5.200 |
| 20 | 0.00 | -2.308 |